i:
The following is a GGA-PBE calculation of Tb3PmHo7 after structural relaxation, from the Alexandria database.

Lattice parameters (Å, degrees): 6.9292 5.5174 9.8940 90.00 109.87 90.00
With the nearest neighbours (Å) after each atom.
Space group P2/m (No. 10)
Symmetry-distinct sites (fractional):
Tb (0.0000, 0.0000, 0.0000)  2 Pm 3.46, 10 Ho 3.50-3.80
Tb (0.2210, 0.5000, 0.5024)  1 Tb 3.05, 4 Ho 3.32-3.37
Pm (0.5000, 0.0000, 0.0000)  2 Tb 3.46, 10 Ho 3.53-3.80
Ho (0.0785, 0.0000, 0.6691)  3 Ho 3.15-3.27, 5 Tb 3.50-3.52
Ho (0.1775, 0.5000, 0.8584)  5 Ho 3.27-3.54, 3 Tb 3.50-3.64, 2 Pm 3.53
Ho (0.3528, 0.5000, 0.2102)  3 Ho 3.27-3.54, 2 Tb 3.32-3.33
Ho (0.5000, 0.0000, 0.5000)  4 Tb 3.37

Summary:
DOS at the Fermi energy in states/eV/cell: 17.6

=====

ii:
The following is a GGA-PBE calculation of Tb3PmHo7 after structural relaxation, from the Alexandria database.

Lattice parameters (Å, degrees): 7.0316 7.0316 8.5898 90.00 90.00 120.00
With the nearest neighbours (Å) after each atom.
Space group P3m1 (No. 156)
Symmetry-distinct sites (fractional):
Tb (0.1670, 0.3341, 0.0000)  5 Ho 3.51-3.53, 4 Tb 3.51-3.52, 1 Pm 3.55
Pm (0.0000, 0.0000, 0.6620)  9 Ho 3.47-3.52, 3 Tb 3.55
Ho (0.0022, 0.5011, 0.6637)  7 Ho 3.47-3.54, 2 Pm 3.52, 2 Tb 3.53
Ho (0.3315, 0.1657, 0.3330)  1 Pm 3.47, 8 Ho 3.50-3.54, 2 Tb 3.51
Ho (0.3333, 0.6667, 0.3355)  9 Ho 3.47-3.52, 3 Tb 3.52

Summary:
DOS at the Fermi energy in states/eV/cell: 17.2

=====

Most stable structure among those shown: i.